5
Lattice="3.886 0.000 0.000 0.000 5.613 0.000 0.000 0.000 3.886" Properties=species:S:1:pos:R:3 comment="PBE+U TcPWF2, optimized geometry" spacegroup="P4/mmm (123)" dos_ef_per_ev_cell=1.6 e_tot_ev_per_atom=-5.518 pbc="T T T"
F 0.000 0.000 1.943
F 1.943 0.000 0.000
P 1.943 2.807 1.943
Tc 0.000 0.000 0.000
W 0.000 2.807 0.000